A plane-wave DFT calculation with PBE-GGA was carried out for crystalline Mn2ZnCl at its relaxed geometry.

## Properties
* DOS(E_F): 0.761 states/eV per atom
* offset from the most stable computed form: 0.274 eV per atom
* crystal system: orthorhombic
* magnetization: 7.8 μB per formula unit
* volume: 16.95 A^3/atom
* formation energy without anion corrections: 0.27 eV per atom

Cell: 2.985 5.318 8.540 Å, 90.00 90.00 90.00°
Positions (direct):
Mn 0.000 0.000 0.241
Mn 0.000 0.000 0.759
Mn 0.500 0.500 0.259
Mn 0.500 0.500 0.741
Zn 0.000 0.500 0.000
Zn 0.500 0.000 0.500
Cl 0.000 0.500 0.500
Cl 0.500 0.000 0.000